# LiMnSbO4, relaxed, DFT PBE with a Hubbard U
# V (Å³/f.u.): 85.4
# Total magnetic moment (μB/cell): 20.00
# Polymorph energy (0 for the lowest one) (eV/atom): 0.000
data_LiMnSbO4
_cell_length_a 6.2604
_cell_length_b 6.2604
_cell_length_c 8.7147
_cell_angle_alpha 90.00
_cell_angle_beta 90.00
_cell_angle_gamma 90.00
_symmetry_space_group_name_H-M 'P 43'
_symmetry_Int_Tables_number 78
loop_
_symmetry_equiv_pos_as_xyz
'x,y,z'
'-y,x,z+3/4'
'-x,-y,z+1/2'
'y,-x,z+1/4'
loop_
_atom_site_label
_atom_site_type_symbol
_atom_site_fract_x
_atom_site_fract_y
_atom_site_fract_z
Li1 Li 0.0000 0.2153 0.0000
Mn1 Mn 0.2464 0.2463 0.6243
Sb1 Sb 0.2354 0.5001 0.2493
O1 O 0.0317 0.2648 0.2521
O2 O 0.0319 0.7353 0.2461
O3 O 0.2729 0.4798 0.0167
O4 O 0.2728 0.5201 0.4818